# 1
Material: LaHo2Ag
Method: DFT, PBE
State: optimized geometry

Unit cell a=10.7235 b=10.7235 c=10.7235 alpha=19.48 beta=19.48 gamma=19.48
Last column: nearest neighbours and their distance in Å.
Sites, in units of the cell vectors:
La1 0.0000 0.0000 0.0000  6 La 3.63, 6 Ho 3.67-3.68
Ho1 0.2378 0.2378 0.2378  3 Ag 3.06
Ho2 0.4292 0.4292 0.4292  3 Ag 3.07
Ag1 0.8337 0.8337 0.8337  6 Ho 3.06-3.07

- Magnetic moment: 0.000 μB/atom
- Excess energy over the best structure of this formula in the dataset: 0.139 eV per atom
- DOS at the Fermi energy: 5.20 states/eV/cell

---

# 2
Material: LaHoAg
Method: DFT, PBE
State: optimized geometry

Unit cell a=7.2189 b=7.2189 c=9.0575 alpha=116.41 beta=116.46 gamma=83.28
Last column: nearest neighbours and their distance in Å.
Sites, in units of the cell vectors:
Ho1 0.6596 0.5850 0.2448  4 Ag 3.04-3.07
Ag1 0.3055 0.2306 0.0000  4 Ho 3.04-3.07, 4 La 3.14-3.32
Ho2 0.9098 0.3352 0.7448  4 Ag 3.04-3.07
Ag2 0.7694 0.6944 0.0000  4 Ho 3.04-3.07, 4 La 3.13-3.32
Ho3 0.6654 0.0900 0.2552  4 Ag 3.04-3.07
Ho4 0.4152 0.3398 0.7552  4 Ag 3.04-3.07
La1 0.9256 0.8508 0.7760  4 Ag 3.13-3.32, 1 La 3.26
La2 0.1752 0.6003 0.2760  4 Ag 3.13-3.32, 1 La 3.26
La3 0.1496 0.0747 0.2240  4 Ag 3.13-3.32, 1 La 3.26
Ag3 0.5556 0.9806 0.5000  4 Ho 3.04-3.07, 4 La 3.13-3.32
La4 0.3993 0.8244 0.7240  4 Ag 3.13-3.32, 1 La 3.26
Ag4 0.0194 0.4445 0.5000  4 Ho 3.04-3.07, 4 La 3.14-3.32

- Magnetic moment: 0.000 μB/atom
- Excess energy over the best structure of this formula in the dataset: 0.224 eV per atom
- DOS at the Fermi energy: 19.19 states/eV/cell

---

# 3
Material: La2HoAg
Method: DFT, PBE
State: optimized geometry

Unit cell a=3.8086 b=3.8086 c=8.6438 alpha=90.00 beta=90.00 gamma=90.00
Last column: nearest neighbours and their distance in Å.
Sites, in units of the cell vectors:
La1 0.0000 0.0000 0.2213  4 Ag 3.30, 4 Ho 3.61
La2 0.0000 0.0000 0.7787  4 Ag 3.30, 4 Ho 3.61
Ho1 0.5000 0.5000 0.5000  8 La 3.61, 4 Ho 3.81
Ag1 0.5000 0.5000 0.0000  8 La 3.30

- Magnetic moment: 0.001 μB/atom
- Excess energy over the best structure of this formula in the dataset: 0.033 eV per atom
- DOS at the Fermi energy: 6.70 states/eV/cell

---

# 4
Material: LaHo4Ag
Method: DFT, PBE
State: optimized geometry

Unit cell a=8.2434 b=8.2434 c=8.7704 alpha=90.00 beta=90.00 gamma=141.15
Last column: nearest neighbours and their distance in Å.
Sites, in units of the cell vectors:
La1 0.1278 0.8722 0.5000  1 Ag 3.21, 8 Ho 3.24-3.57
La2 0.8722 0.1278 0.0000  1 Ag 3.21, 8 Ho 3.24-3.57
Ho1 0.0994 0.9006 0.1012  2 Ag 3.03
Ho2 0.2701 0.7299 0.8187  1 Ag 2.87
Ho3 0.3310 0.6690 0.1821  1 Ag 2.90, 2 La 3.24
Ho4 0.4827 0.5173 0.8591  1 Ag 3.15, 2 Ho 3.29-3.32, 2 La 3.46
Ho5 0.5173 0.4827 0.3591  1 Ag 3.15, 2 Ho 3.29-3.32, 2 La 3.46
Ho6 0.6690 0.3310 0.6821  1 Ag 2.90, 2 La 3.24
Ho7 0.7299 0.2701 0.3187  1 Ag 2.87
Ho8 0.9006 0.0994 0.6012  2 Ag 3.03
Ag1 0.3342 0.6658 0.5122  5 Ho 2.87-3.15
Ag2 0.6658 0.3342 0.0122  5 Ho 2.87-3.15

- Magnetic moment: 0.000 μB/atom
- Excess energy over the best structure of this formula in the dataset: 0.221 eV per atom
- DOS at the Fermi energy: 15.49 states/eV/cell

---

# 5
Material: La2HoAg
Method: DFT, PBE
State: optimized geometry

Unit cell a=10.8857 b=10.8857 c=10.8857 alpha=19.61 beta=19.61 gamma=19.61
Last column: nearest neighbours and their distance in Å.
Sites, in units of the cell vectors:
La1 0.0000 0.0000 0.0000  3 Ag 3.23, 3 Ho 3.58
La2 0.1804 0.1804 0.1804  3 Ag 3.27, 3 Ho 3.61
Ho1 0.4229 0.4229 0.4229  6 La 3.58-3.61, 6 Ho 3.71
Ag1 0.5910 0.5910 0.5910  6 La 3.23-3.27

- Magnetic moment: 0.000 μB/atom
- Excess energy over the best structure of this formula in the dataset: 0.128 eV per atom
- DOS at the Fermi energy: 4.65 states/eV/cell

---

# 6
Material: La6HoAg2
Method: DFT, PBE
State: optimized geometry

Unit cell a=6.7834 b=6.7834 c=12.2497 alpha=106.93 beta=106.93 gamma=32.54
Last column: nearest neighbours and their distance in Å.
Sites, in units of the cell vectors:
La1 0.0280 0.0280 0.3311  2 Ag 3.24, 1 La 3.50
La2 0.3094 0.3094 0.4053  10 La 3.48-3.80, 2 Ag 3.54
La3 0.3148 0.3148 0.1232  2 Ag 3.25, 3 La 3.48-3.53
La4 0.6852 0.6852 0.8768  2 Ag 3.25, 3 La 3.48-3.53
La5 0.6906 0.6906 0.5947  10 La 3.48-3.80, 2 Ag 3.54
La6 0.9720 0.9720 0.6689  2 Ag 3.24, 1 La 3.50
Ho1 0.0000 0.0000 0.0000  4 Ag 3.04
Ag1 0.3645 0.3645 0.8190  2 Ho 3.04, 4 La 3.24-3.25
Ag2 0.6355 0.6355 0.1810  2 Ho 3.04, 4 La 3.24-3.25

- Magnetic moment: 0.000 μB/atom
- DOS at the Fermi energy: 13.85 states/eV/cell
- Total DFT energy (no corrections): -4.536 eV/atom

---

# 7
Material: LaHoAg4
Method: DFT, PBE
State: optimized geometry

Unit cell a=5.7766 b=5.7766 c=5.7766 alpha=60.00 beta=60.00 gamma=60.00
Last column: nearest neighbours and their distance in Å.
Sites, in units of the cell vectors:
La1 0.0000 0.0000 0.0000  12 Ag 3.39, 4 Ho 3.54
Ho1 0.2500 0.2500 0.2500  12 Ag 3.39, 4 La 3.54
Ag1 0.1268 0.6244 0.6244  6 Ag 2.87-2.90
Ag2 0.6244 0.1268 0.6244  6 Ag 2.87-2.90
Ag3 0.6244 0.6244 0.1268  6 Ag 2.87-2.90
Ag4 0.6244 0.6244 0.6244  6 Ag 2.87-2.90

- Magnetic moment: 0.000 μB/atom
- Excess energy over the best structure of this formula in the dataset: 0.114 eV per atom
- DOS at the Fermi energy: 4.91 states/eV/cell

---

# 8
Material: La3Ho4Ag
Method: DFT, PBE
State: optimized geometry

Unit cell a=3.6805 b=3.6805 c=18.5729 alpha=90.00 beta=90.00 gamma=90.00
Last column: nearest neighbours and their distance in Å.
Sites, in units of the cell vectors:
La1 0.0000 0.0000 0.0000  8 Ho 3.62, 4 La 3.68
La2 0.0000 0.0000 0.2716  8 Ho 3.61-3.63, 4 La 3.68
La3 0.0000 0.0000 0.7284  8 Ho 3.61-3.63, 4 La 3.68
Ho1 0.5000 0.5000 0.1354  8 La 3.62-3.63, 4 Ho 3.68
Ho2 0.5000 0.5000 0.4062  4 Ag 3.13, 1 Ho 3.48
Ho3 0.5000 0.5000 0.5938  4 Ag 3.13, 1 Ho 3.48
Ho4 0.5000 0.5000 0.8646  8 La 3.62-3.63, 4 Ho 3.68
Ag1 0.0000 0.0000 0.5000  8 Ho 3.13

- Magnetic moment: 0.000 μB/atom
- DOS at the Fermi energy: 12.19 states/eV/cell
- Total DFT energy (no corrections): -4.542 eV/atom

---

Question: The highest magnetic moment belongs to which entry?
Answer: number 3